Below is Ac5P4Au after structural relaxation, with properties calculated at the PBE level.

Cell and atoms, written as CIF:
```
data_Ac5P4Au
_chemical_formula_sum 'Ac5 P4 Au1'
_space_group_name_H-M_alt 'P 1'
_space_group_IT_number 1
_space_group_name_Hall 'P 1'
_cell_length_a 4.441
_cell_length_b 7.755
_cell_length_c 9.949
_cell_angle_alpha 75.62
_cell_angle_beta 77.10
_cell_angle_gamma 73.36
loop_
_atom_site_label
_atom_site_type_symbol
_atom_site_fract_x
_atom_site_fract_y
_atom_site_fract_z
P1 P 0.401 0.800 0.399
P2 P 0.203 0.395 0.199
P3 P 0.797 0.605 0.801
P4 P 0.599 0.200 0.601
Ac1 Ac 0.393 0.326 0.888
Ac2 Ac 0.795 0.098 0.311
Ac3 Ac 0.000 0.500 0.500
Ac4 Ac 0.607 0.674 0.112
Ac5 Ac 0.205 0.902 0.689
Au1 Au 0.000 0.000 0.000
```

Values from the calculation:
- calculated total energy (eV/atom) = -5.848
- formation enthalpy at 0 K (eV per atom) = -1.302
- DOS at the Fermi energy (states/eV/f.u.) = 6.17

***

Below is AcPAu after structural relaxation, with properties calculated at the PBE level.

Cell and atoms, written as CIF:
```
data_AcPAu
_chemical_formula_sum 'Ac2 P2 Au2'
_space_group_name_H-M_alt 'P 1'
_space_group_IT_number 1
_space_group_name_Hall 'P 1'
_cell_length_a 4.424
_cell_length_b 6.287
_cell_length_c 6.104
_cell_angle_alpha 85.93
_cell_angle_beta 111.25
_cell_angle_gamma 89.98
loop_
_atom_site_label
_atom_site_type_symbol
_atom_site_fract_x
_atom_site_fract_y
_atom_site_fract_z
Ac1 Ac 0.365 0.245 0.730
Ac2 Ac 0.635 0.755 0.270
Au1 Au 0.919 0.841 0.839
Au2 Au 0.081 0.159 0.161
P1 P 0.666 0.265 0.332
P2 P 0.334 0.735 0.668
```

Values from the calculation:
- calculated total energy (eV/atom) = -5.262
- formation enthalpy at 0 K (eV per atom) = -0.997
- DOS at the Fermi energy (states/eV/f.u.) = 0.47